# 1
Entry from Alexandria: a geometry-optimized Co3BCl structure (PBE).

Geometry as CIF:
```
data_Co3BCl
_symmetry_space_group_name_H-M 'P m -3 m'
_symmetry_Int_Tables_number 221
_symmetry_space_group_name_Hall '-P 4 2 3'
_cell_length_a 3.931
_cell_length_b 3.931
_cell_length_c 3.931
_cell_angle_alpha 90.00
_cell_angle_beta 90.00
_cell_angle_gamma 90.00
loop_
_atom_site_label
_atom_site_fract_x
_atom_site_fract_y
_atom_site_fract_z
Co1 0.000 0.000 0.500
B1 0.000 0.000 0.000
Cl1 0.500 0.500 0.500
```

Calculated values
Uncorrected formation energy (meV/atom): 524
Density of states at the Fermi level (states/eV per cell): 7.81
Energy above the lowest structure with this stoichiometry (eV/f.u.): 0.00

***

# 2
Entry from Alexandria: a geometry-optimized Ac2Mg6Cd9 structure (PBE).

Geometry as CIF:
```
data_Ac2Mg6Cd9
_symmetry_space_group_name_H-M 'P 6/m m m'
_symmetry_Int_Tables_number 191
_symmetry_space_group_name_Hall '-P 6 2'
_cell_length_a 6.0197
_cell_length_b 6.0197
_cell_length_c 14.7053
_cell_angle_alpha 90.00
_cell_angle_beta 90.00
_cell_angle_gamma 120.00
loop_
_atom_site_label
_atom_site_fract_x
_atom_site_fract_y
_atom_site_fract_z
Ac1 0.0000 0.0000 0.1577
Mg1 0.3333 0.6667 0.1644
Mg2 0.3333 0.6667 0.5000
Cd1 0.0000 0.5000 0.0000
Cd2 0.0000 0.5000 0.3317
```

Calculated values
E_form (eV/atom): -0.0961
Density of states at the Fermi level (states/eV per cell): 7.10